[1]
! SrDy2S4, relaxed, DFT PBEsol; values from VASP
! Symmetry: Pnma
&SYSTEM
  ibrav = 0, nat = 28, ntyp = 3
/
ATOMIC_SPECIES
Sr 87.62 Sr.upf
Dy 162.50 Dy.upf
S 32.06 S.upf
CELL_PARAMETERS angstrom
11.741 0.000 0.000
0.000 3.953 0.000
0.000 0.000 14.193
ATOMIC_POSITIONS crystal
Sr 0.245 0.250 0.161
Sr 0.255 0.750 0.661
Sr 0.745 0.250 0.339
Sr 0.755 0.750 0.839
Dy 0.076 0.250 0.392
Dy 0.077 0.250 0.898
Dy 0.423 0.750 0.398
Dy 0.424 0.750 0.892
Dy 0.576 0.250 0.108
Dy 0.577 0.250 0.602
Dy 0.923 0.750 0.102
Dy 0.924 0.750 0.608
S 0.017 0.750 0.783
S 0.082 0.250 0.581
S 0.135 0.750 0.023
S 0.211 0.750 0.322
S 0.289 0.250 0.822
S 0.365 0.250 0.523
S 0.418 0.750 0.081
S 0.483 0.250 0.283
S 0.517 0.750 0.717
S 0.582 0.250 0.919
S 0.635 0.750 0.477
S 0.711 0.750 0.178
S 0.789 0.250 0.678
S 0.865 0.250 0.977
S 0.918 0.750 0.419
S 0.983 0.250 0.217

***

[2]
! Dy2ZnS4, relaxed, DFT PBEsol; values from VASP
! Symmetry: Pnma
&SYSTEM
  ibrav = 0, nat = 28, ntyp = 3
/
ATOMIC_SPECIES
Dy 162.50 Dy.upf
Zn 65.41 Zn.upf
S 32.06 S.upf
CELL_PARAMETERS angstrom
13.347 0.000 0.000
0.000 7.817 0.000
0.000 0.000 6.239
ATOMIC_POSITIONS crystal
Dy 0.000 0.000 0.000
Dy 0.000 0.500 0.000
Dy 0.234 0.250 0.493
Dy 0.266 0.750 0.993
Dy 0.500 0.000 0.500
Dy 0.500 0.500 0.500
Dy 0.734 0.250 0.007
Dy 0.766 0.750 0.507
Zn 0.092 0.750 0.407
Zn 0.408 0.250 0.907
Zn 0.592 0.750 0.093
Zn 0.908 0.250 0.593
S 0.070 0.250 0.743
S 0.090 0.750 0.771
S 0.169 0.514 0.243
S 0.169 0.986 0.243
S 0.331 0.014 0.743
S 0.331 0.486 0.743
S 0.410 0.250 0.271
S 0.430 0.750 0.243
S 0.570 0.250 0.757
S 0.590 0.750 0.729
S 0.669 0.514 0.257
S 0.669 0.986 0.257
S 0.831 0.014 0.757
S 0.831 0.486 0.757
S 0.910 0.250 0.229
S 0.930 0.750 0.257

***

[3]
! DySb2, relaxed, DFT PBEsol; values from VASP
! Symmetry: C222
&SYSTEM
  ibrav = 0, nat = 6, ntyp = 2
/
ATOMIC_SPECIES
Dy 162.50 Dy.upf
Sb 121.76 Sb.upf
CELL_PARAMETERS angstrom
3.522 0.000 0.000
0.000 6.154 0.000
0.000 0.000 7.449
ATOMIC_POSITIONS crystal
Dy 0.000 0.000 0.000
Dy 0.500 0.500 0.000
Sb 0.250 0.250 0.328
Sb 0.250 0.750 0.672
Sb 0.750 0.250 0.672
Sb 0.750 0.750 0.328

***

[4]
! Dy4Sb3, relaxed, DFT PBEsol; values from VASP
! Symmetry: I-43d
&SYSTEM
  ibrav = 0, nat = 14, ntyp = 2
/
ATOMIC_SPECIES
Dy 162.50 Dy.upf
Sb 121.76 Sb.upf
CELL_PARAMETERS angstrom
-4.524 4.524 4.524
4.524 -4.524 4.524
4.524 4.524 -4.524
ATOMIC_POSITIONS crystal
Dy 0.000 0.145 0.500
Dy 0.000 0.645 0.500
Dy 0.145 0.500 0.000
Dy 0.355 0.355 0.355
Dy 0.500 0.000 0.145
Dy 0.500 0.000 0.645
Dy 0.645 0.500 0.000
Dy 0.855 0.855 0.855
Sb 0.125 0.875 0.250
Sb 0.250 0.125 0.875
Sb 0.375 0.625 0.750
Sb 0.625 0.750 0.375
Sb 0.750 0.375 0.625
Sb 0.875 0.250 0.125

***

[5]
! DyScSb, relaxed, DFT PBEsol; values from VASP
! Symmetry: P4/nmm
&SYSTEM
  ibrav = 0, nat = 6, ntyp = 3
/
ATOMIC_SPECIES
Dy 162.50 Dy.upf
Sc 44.96 Sc.upf
Sb 121.76 Sb.upf
CELL_PARAMETERS angstrom
4.279 0.000 0.000
0.000 4.279 0.000
0.000 0.000 8.073
ATOMIC_POSITIONS crystal
Dy 0.250 0.250 0.151
Dy 0.750 0.750 0.849
Sc 0.250 0.750 0.500
Sc 0.750 0.250 0.500
Sb 0.250 0.250 0.766
Sb 0.750 0.750 0.234

***

[6]
! Dy5Si2Sb2, relaxed, DFT PBEsol; values from VASP
! Symmetry: Cmce
&SYSTEM
  ibrav = 0, nat = 18, ntyp = 3
/
ATOMIC_SPECIES
Dy 162.50 Dy.upf
Si 28.09 Si.upf
Sb 121.76 Sb.upf
CELL_PARAMETERS angstrom
7.450 -3.858 0.000
7.450 3.858 0.000
0.000 0.000 7.740
ATOMIC_POSITIONS crystal
Dy 0.000 0.000 0.000
Dy 0.044 0.702 0.671
Dy 0.202 0.544 0.171
Dy 0.298 0.956 0.671
Dy 0.456 0.798 0.171
Dy 0.500 0.500 0.500
Dy 0.544 0.202 0.829
Dy 0.702 0.044 0.329
Dy 0.798 0.456 0.829
Dy 0.956 0.298 0.329
Si 0.124 0.876 0.377
Si 0.376 0.624 0.877
Si 0.624 0.376 0.123
Si 0.876 0.124 0.623
Sb 0.207 0.207 0.000
Sb 0.293 0.293 0.500
Sb 0.707 0.707 0.500
Sb 0.793 0.793 0.000

***

[7]
! DyVSb3, relaxed, DFT PBEsol; values from VASP
! Symmetry: Pbcm
&SYSTEM
  ibrav = 0, nat = 20, ntyp = 3
/
ATOMIC_SPECIES
Dy 162.50 Dy.upf
V 50.94 V.upf
Sb 121.76 Sb.upf
CELL_PARAMETERS angstrom
12.581 0.000 0.000
0.000 6.233 0.000
0.000 0.000 5.833
ATOMIC_POSITIONS crystal
Dy 0.189 0.002 0.250
Dy 0.189 0.498 0.750
Dy 0.811 0.502 0.250
Dy 0.811 0.998 0.750
V 0.399 0.750 0.000
V 0.399 0.750 0.500
V 0.601 0.250 0.000
V 0.601 0.250 0.500
Sb 0.002 0.750 0.000
Sb 0.002 0.750 0.500
Sb 0.273 0.009 0.750
Sb 0.273 0.491 0.250
Sb 0.434 0.105 0.250
Sb 0.434 0.395 0.750
Sb 0.566 0.605 0.250
Sb 0.566 0.895 0.750
Sb 0.727 0.509 0.750
Sb 0.727 0.991 0.250
Sb 0.998 0.250 0.000
Sb 0.998 0.250 0.500

***

[8]
! DyZrSb, relaxed, DFT PBEsol; values from VASP
! Symmetry: I4/mmm
&SYSTEM
  ibrav = 0, nat = 12, ntyp = 3
/
ATOMIC_SPECIES
Dy 162.50 Dy.upf
Zr 91.22 Zr.upf
Sb 121.76 Sb.upf
CELL_PARAMETERS angstrom
4.208 0.000 0.000
0.000 4.208 0.000
0.000 0.000 16.432
ATOMIC_POSITIONS crystal
Dy 0.000 0.000 0.177
Dy 0.000 0.000 0.823
Dy 0.500 0.500 0.323
Dy 0.500 0.500 0.677
Zr 0.000 0.500 0.000
Zr 0.000 0.500 0.500
Zr 0.500 0.000 0.000
Zr 0.500 0.000 0.500
Sb 0.000 0.000 0.367
Sb 0.000 0.000 0.633
Sb 0.500 0.500 0.133
Sb 0.500 0.500 0.867

***

[9]
! DyScZn2, relaxed, DFT PBEsol; values from VASP
! ΔH_f (0 K), eV/atom: -0.35
! Symmetry: Fm-3m
&SYSTEM
  ibrav = 0, nat = 16, ntyp = 3
/
ATOMIC_SPECIES
Dy 162.50 Dy.upf
Sc 44.96 Sc.upf
Zn 65.41 Zn.upf
CELL_PARAMETERS angstrom
6.810 0.000 0.000
0.000 6.810 0.000
0.000 0.000 6.810
ATOMIC_POSITIONS crystal
Dy 0.000 0.000 0.000
Dy 0.000 0.500 0.500
Dy 0.500 0.000 0.500
Dy 0.500 0.500 0.000
Sc 0.000 0.000 0.500
Sc 0.000 0.500 0.000
Sc 0.500 0.000 0.000
Sc 0.500 0.500 0.500
Zn 0.250 0.250 0.250
Zn 0.250 0.250 0.750
Zn 0.250 0.750 0.250
Zn 0.250 0.750 0.750
Zn 0.750 0.250 0.250
Zn 0.750 0.250 0.750
Zn 0.750 0.750 0.250
Zn 0.750 0.750 0.750

***

[10]
! Dy2Se3, relaxed, DFT PBEsol; values from VASP
! Symmetry: Pnma
&SYSTEM
  ibrav = 0, nat = 20, ntyp = 2
/
ATOMIC_SPECIES
Dy 162.50 Dy.upf
Se 78.96 Se.upf
CELL_PARAMETERS angstrom
11.011 0.000 0.000
0.000 3.969 0.000
0.000 0.000 10.746
ATOMIC_POSITIONS crystal
Dy 0.014 0.250 0.187
Dy 0.195 0.250 0.500
Dy 0.305 0.750 0.000
Dy 0.486 0.750 0.687
Dy 0.514 0.250 0.313
Dy 0.695 0.250 0.000
Dy 0.805 0.750 0.500
Dy 0.986 0.750 0.813
Se 0.044 0.750 0.376
Se 0.120 0.250 0.943
Se 0.227 0.750 0.698
Se 0.273 0.250 0.198
Se 0.380 0.750 0.443
Se 0.456 0.250 0.876
Se 0.544 0.750 0.124
Se 0.620 0.250 0.557
Se 0.727 0.750 0.802
Se 0.773 0.250 0.302
Se 0.880 0.750 0.057
Se 0.956 0.250 0.624

***

[11]
! DySe, relaxed, DFT PBEsol; values from VASP
! Symmetry: Fm-3m
&SYSTEM
  ibrav = 0, nat = 8, ntyp = 2
/
ATOMIC_SPECIES
Dy 162.50 Dy.upf
Se 78.96 Se.upf
CELL_PARAMETERS angstrom
5.673 0.000 0.000
0.000 5.673 0.000
0.000 0.000 5.673
ATOMIC_POSITIONS crystal
Dy 0.000 0.000 0.000
Dy 0.000 0.500 0.500
Dy 0.500 0.000 0.500
Dy 0.500 0.500 0.000
Se 0.000 0.000 0.500
Se 0.000 0.500 0.000
Se 0.500 0.000 0.000
Se 0.500 0.500 0.500

***

[12]
! Dy3Se4, relaxed, DFT PBEsol; values from VASP
! Symmetry: I-43d
&SYSTEM
  ibrav = 0, nat = 14, ntyp = 2
/
ATOMIC_SPECIES
Dy 162.50 Dy.upf
Se 78.96 Se.upf
CELL_PARAMETERS angstrom
-4.267 4.267 4.267
4.267 -4.267 4.267
4.267 4.267 -4.267
ATOMIC_POSITIONS crystal
Dy 0.125 0.750 0.875
Dy 0.250 0.625 0.375
Dy 0.375 0.250 0.625
Dy 0.625 0.375 0.250
Dy 0.750 0.875 0.125
Dy 0.875 0.125 0.750
Se 0.000 0.353 0.500
Se 0.000 0.853 0.500
Se 0.147 0.147 0.147
Se 0.353 0.500 0.000
Se 0.500 0.000 0.353
Se 0.500 0.000 0.853
Se 0.647 0.647 0.647
Se 0.853 0.500 0.000

***

| no. | uncorrected energy (eV per atom) | Fermi-level density of states (states/eV/f.u.) |
| --- | --- | --- |
| 1 | -6.3592 | 0.00 |
| 2 | -5.8617 | 0.00 |
| 3 | -4.9437 | 2.06 |
| 4 | -5.8404 | 6.35 |
| 5 | -6.2814 | 2.45 |
| 6 | -6.0192 | 6.08 |
| 7 | -6.2098 | 2.82 |
| 8 | -7.0649 | 2.79 |
| 9 | -4.0382 | 4.40 |
| 10 | -6.2050 | 0.06 |
| 11 | -6.2394 | 0.92 |
| 12 | -6.1731 | 3.92 |